EuErAgSn PBE relaxed; space-group type = No. 216; E = -5.934 eV/atom
1.0
5.326 0.000 0.000
2.663 4.612 0.000
2.663 1.537 4.349
Eu Ag Er Sn
1 1 1 1
direct
0.750 0.750 0.750
0.000 0.000 0.000
0.250 0.250 0.250
0.500 0.500 0.500